[1]
PrDyS2: relaxed, PBE-GGA.

Calculated values
E above lowest polymorph = 0.000 eV/atom
calculated volume = 22.7 Å³/atom
symmetry = C2/m, No. 12

Unit cell a=3.966 b=3.966 c=7.030 alpha=106.44 beta=106.44 gamma=60.12
Positions (direct):
S (0.744, 0.744, 0.231)
Pr (0.500, 0.500, 0.500)
Dy (0.000, 0.000, 0.000)
S (0.256, 0.256, 0.769)

[2]
TbSmMgIn: relaxed, PBE-GGA.

Calculated values
electronic total energy = -14.95 eV/f.u.
calculated volume = 27.3 Å³/atom
symmetry = F-43m, No. 216

Unit cell a=5.368 b=5.368 c=5.368 alpha=60.00 beta=60.00 gamma=60.00
Positions (direct):
Tb (0.250, 0.250, 0.250)
In (0.500, 0.500, 0.500)
Sm (0.750, 0.750, 0.750)
Mg (0.000, 0.000, 0.000)

[3]
Dy2Y3Er2Ni2Te2: relaxed, PBE-GGA.

Calculated values
E above lowest polymorph = 0.000 eV/atom
calculated volume = 26.2 Å³/atom
symmetry = Imm2, No. 44

Unit cell a=9.357 b=9.357 c=9.357 alpha=156.24 beta=66.84 gamma=118.56
Positions (direct):
Y (0.892, 0.745, 0.147)
Dy (0.263, 0.895, 0.368)
Te (0.641, 0.141, 0.500)
Y (0.978, 0.478, 0.500)
Ni (0.667, 0.406, 0.262)
Ni (0.144, 0.406, 0.738)
Er (0.281, 0.097, 0.185)
Dy (0.527, 0.895, 0.632)
Y (0.599, 0.745, 0.853)
Er (0.912, 0.097, 0.815)
Te (0.241, 0.241, 0.000)

[4]
RbAuO: relaxed, PBE-GGA.

Calculated values
electronic total energy = -11.45 eV/f.u.
calculated volume = 25.3 Å³/atom
symmetry = Cmcm, No. 63

Unit cell a=4.869 b=4.869 c=6.625 alpha=90.00 beta=90.00 gamma=105.13
Positions (direct):
Au (0.000, 0.000, 0.000)
Au (0.000, 0.000, 0.500)
Rb (0.381, 0.619, 0.250)
O (0.846, 0.154, 0.250)
O (0.154, 0.846, 0.750)
Rb (0.619, 0.381, 0.750)

[5]
SrSmSn2: relaxed, PBE-GGA.

Calculated values
electronic total energy = -14.27 eV/f.u.
calculated volume = 36.3 Å³/atom
symmetry = Amm2, No. 38

Unit cell a=3.478 b=7.239 c=7.239 alpha=52.85 beta=90.00 gamma=90.00
Positions (direct):
Sm (0.500, 0.651, 0.651)
Sn (0.500, 0.886, 0.886)
Sn (0.500, 0.105, 0.105)
Sr (0.500, 0.358, 0.358)

[6]
NiH3: relaxed, PBE-GGA.

Calculated values
E above lowest polymorph = 0.246 eV/atom
calculated volume = 4.8 Å³/atom
symmetry = I4/mmm, No. 139

Unit cell a=3.468 b=3.468 c=3.468 alpha=137.07 beta=137.07 gamma=62.33
Positions (direct):
H (0.750, 0.250, 0.500)
Ni (0.000, 0.000, 0.000)
H (0.500, 0.500, 0.000)
H (0.250, 0.750, 0.500)

[7]
YCuBiAu: relaxed, PBE-GGA.

Calculated values
E above lowest polymorph = 0.054 eV/atom
calculated volume = 22.1 Å³/atom
symmetry = F-43m, No. 216

Unit cell a=4.998 b=4.998 c=4.998 alpha=60.00 beta=60.00 gamma=60.00
Positions (direct):
Cu (0.750, 0.750, 0.750)
Y (0.250, 0.250, 0.250)
Au (0.500, 0.500, 0.500)
Bi (0.000, 0.000, 0.000)

[8]
HfCuTcSn: relaxed, PBE-GGA.

Calculated values
E above lowest polymorph = 0.000 eV/atom
calculated volume = 17.0 Å³/atom
symmetry = F-43m, No. 216

Unit cell a=4.583 b=4.583 c=4.583 alpha=60.00 beta=60.00 gamma=60.00
Positions (direct):
Sn (0.000, 0.000, 0.000)
Cu (0.750, 0.750, 0.750)
Hf (0.500, 0.500, 0.500)
Tc (0.250, 0.250, 0.250)

[9]
Er2TcIr3: relaxed, PBE-GGA.

Calculated values
energy relative to the elements = -0.718 eV per atom
calculated volume = 17.9 Å³/atom
symmetry = P6_3/mmc, No. 194

Unit cell a=5.413 b=5.413 c=8.484 alpha=90.00 beta=90.00 gamma=120.00
Positions (direct):
Er (0.667, 0.333, 0.064)
Ir (0.170, 0.340, 0.250)
Er (0.333, 0.667, 0.936)
Er (0.333, 0.667, 0.564)
Ir (0.660, 0.830, 0.250)
Ir (0.830, 0.170, 0.750)
Ir (0.340, 0.170, 0.750)
Er (0.667, 0.333, 0.436)
Ir (0.170, 0.830, 0.250)
Tc (0.000, 0.000, 0.000)
Ir (0.830, 0.660, 0.750)
Tc (0.000, 0.000, 0.500)

[10]
TbPrPd4Pb2: relaxed, PBE-GGA.

Calculated values
electronic total energy = -42.90 eV/f.u.
calculated volume = 21.7 Å³/atom
symmetry = P-6m2, No. 187

Unit cell a=4.717 b=4.717 c=9.030 alpha=90.00 beta=90.00 gamma=120.00
Positions (direct):
Pb (0.333, 0.667, 0.741)
Pd (0.000, 0.000, 0.657)
Tb (0.667, 0.333, 0.500)
Pd (0.667, 0.333, 0.165)
Pd (0.667, 0.333, 0.835)
Pd (0.000, 0.000, 0.343)
Pr (0.000, 0.000, 0.000)
Pb (0.333, 0.667, 0.259)

[11]
AgOsAu: relaxed, PBE-GGA.

Calculated values
energy relative to the elements = 1.208 eV per atom
E above lowest polymorph = 0.000 eV/atom
calculated volume = 20.0 Å³/atom
symmetry = F-43m, No. 216

Unit cell a=4.392 b=4.392 c=4.392 alpha=60.00 beta=60.00 gamma=60.00
Positions (direct):
Os (0.000, 0.000, 0.000)
Ag (0.250, 0.250, 0.250)
Au (0.750, 0.750, 0.750)

[12]
NdAuSeO: relaxed, PBE-GGA.

Calculated values
electronic total energy = -23.97 eV/f.u.
calculated volume = 20.1 Å³/atom
symmetry = Pcca, No. 54

Unit cell a=5.792 b=9.550 c=5.806 alpha=90.00 beta=90.00 gamma=90.00
Positions (direct):
O (0.750, 0.000, 0.500)
Se (0.500, 0.716, 0.250)
Nd (0.000, 0.877, 0.250)
Au (0.250, 0.500, 0.760)
Se (0.000, 0.716, 0.750)
Au (0.750, 0.500, 0.740)
Se (0.500, 0.284, 0.750)
Nd (0.500, 0.877, 0.750)
O (0.250, 0.000, 0.000)
O (0.250, 0.000, 0.500)
Nd (0.000, 0.123, 0.750)
Au (0.750, 0.500, 0.240)
Nd (0.500, 0.123, 0.250)
Au (0.250, 0.500, 0.260)
O (0.750, 0.000, 0.000)
Se (0.000, 0.284, 0.250)

[13]
PmTmSb: relaxed, PBE-GGA.

Calculated values
E above lowest polymorph = 0.000 eV/atom
calculated volume = 31.3 Å³/atom
symmetry = F-43m, No. 216

Unit cell a=5.102 b=5.102 c=5.102 alpha=60.00 beta=60.00 gamma=60.00
Positions (direct):
Sb (0.250, 0.250, 0.250)
Tm (0.000, 0.000, 0.000)
Pm (0.500, 0.500, 0.500)

[14]
YBeHgAu: relaxed, PBE-GGA.

Calculated values
E above lowest polymorph = 0.031 eV/atom
calculated volume = 19.4 Å³/atom
symmetry = F-43m, No. 216

Unit cell a=4.789 b=4.789 c=4.789 alpha=60.00 beta=60.00 gamma=60.00
Positions (direct):
Be (0.250, 0.250, 0.250)
Hg (0.500, 0.500, 0.500)
Au (0.750, 0.750, 0.750)
Y (0.000, 0.000, 0.000)